VASP calculation (PBE-GGA) on a relaxed MgCdF2 crystal.

The size of the total moment is 0.0 Bohr magnetons per cell. The calculation puts the calculated total energy at -3.9501 eV/atom. The density comes out at 3.44 Mg/m³. For the uncorrected formation energy, the calculation gives -9.5 eV/f.u. Its polymorph energy (0 for the lowest one) is 117.8 meV/atom.

The structure belongs to space group I4_1/amd (No. 141, origin choice 2); the cell edges are 6.182, 6.182 and 8.819 Å and the angles 90.00°, 90.00° and 90.00°. The asymmetric unit holds Mg at (0.000, 0.250, 0.375), Cd at (0.000, 0.250, 0.875) and F at (0.000, 0.000, 0.500).

=====

VASP calculation (PBE-GGA) on a relaxed Cs2TlSnI6 crystal.

The size of the total moment is 0.0 Bohr magnetons per cell. The calculation puts the calculated total energy at -2.6353 eV/atom. The density comes out at 4.54 Mg/m³. For the uncorrected formation energy, the calculation gives -9.0 eV/f.u. Its polymorph energy (0 for the lowest one) is 12.3 meV/atom.

The structure belongs to space group P4/mmm (No. 123); the cell edges are 6.254, 6.254 and 12.637 Å and the angles 90.00°, 90.00° and 90.00°. The asymmetric unit holds Cs at (0.000, 0.000, 0.243), Tl at (0.500, 0.500, 0.000), Sn at (0.500, 0.500, 0.500), I at (0.000, 0.500, 0.000), I at (0.000, 0.500, 0.500) and I at (0.500, 0.500, 0.256).

=====

VASP calculation (PBE-GGA) on a relaxed TlOs2IO8 crystal.

The size of the total moment is 0.0 Bohr magnetons per cell. The calculation puts the calculated total energy at -6.3797 eV/atom. The density comes out at 4.91 Mg/m³. For the uncorrected formation energy, the calculation gives -10.5 eV/f.u.

The structure belongs to space group C2/m (No. 12); the cell edges are 20.479, 5.544 and 5.083 Å and the angles 90.00°, 100.33° and 90.00°. The asymmetric unit holds Tl at (0.000, 0.000, 0.000), Os at (0.182, 0.000, 0.666), I at (0.000, 0.500, 0.500), O at (0.127, 0.000, 0.367), O at (0.168, 0.252, 0.847) and O at (0.237, 0.500, 0.389).

=====

VASP calculation (PBE-GGA) on a relaxed TaW2Cl crystal.

The size of the total moment is 0.0 Bohr magnetons per cell. The calculation puts the calculated total energy at -8.9185 eV/atom. The density comes out at 14.56 Mg/m³. For the uncorrected formation energy, the calculation gives 3.9 eV/f.u. Its polymorph energy (0 for the lowest one) is 747.1 meV/atom.

The structure belongs to space group P4/mmm (No. 123); the cell edges are 4.673, 4.673 and 3.051 Å and the angles 90.00°, 90.00° and 90.00°. The asymmetric unit holds Ta at (0.000, 0.000, 0.000), W at (0.000, 0.500, 0.500) and Cl at (0.500, 0.500, 0.000).

=====

VASP calculation (PBE-GGA) on a relaxed Sc4AlPbO crystal.

The size of the total moment is 0.0 Bohr magnetons per cell. The calculation puts the calculated total energy at -6.4872 eV/atom. The density comes out at 5.02 Mg/m³. For the uncorrected formation energy, the calculation gives -7.7 eV/f.u.

The structure belongs to space group Cmcm (No. 63); the cell edges are 6.102, 15.274 and 6.109 Å and the angles 90.00°, 90.00° and 90.00°. The asymmetric unit holds Sc at (0.000, 0.084, 0.250), Sc at (0.000, 0.407, 0.250), Sc at (0.250, 0.250, 0.000), Al at (0.000, 0.112, 0.750), Pb at (0.000, 0.397, 0.750) and O at (0.000, 0.251, 0.250).

=====

VASP calculation (PBE-GGA) on a relaxed Pr2ScZn3Pd4 crystal.

The size of the total moment is 0.0 Bohr magnetons per cell. The calculation puts the calculated total energy at -4.6941 eV/atom. The density comes out at 7.85 Mg/m³.

The structure belongs to space group P-4m2 (No. 115); the cell edges are 4.168, 4.168 and 11.552 Å and the angles 90.00°, 90.00° and 90.00°. The asymmetric unit holds Pr at (0.000, 0.500, 0.234), Sc at (0.000, 0.000, 0.500), Zn at (0.000, 0.500, 0.872), Zn at (0.500, 0.500, 0.500), Pd at (0.000, 0.000, 0.000), Pd at (0.000, 0.500, 0.649) and Pd at (0.500, 0.500, 0.000).

=====

VASP calculation (PBE-GGA) on a relaxed BaSrI4 crystal.

The size of the total moment is 0.0 Bohr magnetons per cell. The calculation puts the calculated total energy at -3.3449 eV/atom. The density comes out at 4.05 Mg/m³. For the uncorrected formation energy, the calculation gives -10.3 eV/f.u.

The structure belongs to space group P2_1/c (No. 14); the cell edges are 9.178, 13.320 and 10.547 Å and the angles 90.00°, 111.23° and 90.00°. The asymmetric unit holds Ba at (0.084, 0.034, 0.282), Sr at (0.437, 0.654, 0.357), I at (0.104, 0.730, 0.767), I at (0.243, 0.018, 0.632), I at (0.263, 0.508, 0.533) and I at (0.403, 0.206, 0.368).

=====

VASP calculation (PBE-GGA) on a relaxed CuBSe2 crystal.

The size of the total moment is 0.0 Bohr magnetons per cell. The calculation puts the calculated total energy at -4.4753 eV/atom. The density comes out at 5.60 Mg/m³. For the uncorrected formation energy, the calculation gives -0.2 eV/f.u.

The structure belongs to space group P-1 (No. 2); the cell edges are 4.066, 6.089 and 6.245 Å and the angles 114.00°, 100.84° and 91.58°. The asymmetric unit holds Cu at (0.134, 0.168, 0.445), B at (0.346, 0.590, 0.044), Se at (0.065, 0.490, 0.249) and Se at (0.467, 0.046, 0.777).

=====

VASP calculation (PBE-GGA) on a relaxed Ac7LaPr2 crystal.

The size of the total moment is 1.0 Bohr magnetons per cell. The calculation puts the calculated total energy at -3.7474 eV/atom. The density comes out at 6.47 Mg/m³.

The structure belongs to space group Cmmm (No. 65); the cell edges are 10.150, 16.600 and 6.118 Å and the angles 90.00°, 90.00° and 90.00°. The asymmetric unit holds Ac at (0.000, 0.000, 0.000), Ac at (0.000, 0.256, 0.500), Ac at (0.186, 0.376, 0.000), La at (0.000, 0.500, 0.500) and Pr at (0.000, 0.200, 0.000).

=====

VASP calculation (PBE-GGA) on a relaxed LiTbNbOs crystal.

The size of the total moment is 0.0 Bohr magnetons per cell. The calculation puts the calculated total energy at -6.9780 eV/atom. The density comes out at 10.24 Mg/m³.

The structure belongs to space group F-43m (No. 216); the cell edges are 6.628, 6.628 and 6.628 Å and the angles 90.00°, 90.00° and 90.00°. The asymmetric unit holds Li at (0.000, 0.000, 0.000), Tb at (0.250, 0.250, 0.250), Nb at (0.250, 0.250, 0.750) and Os at (0.000, 0.000, 0.500).

=====

VASP calculation (PBE-GGA) on a relaxed CaLaSc crystal.

The size of the total moment is 0.0 Bohr magnetons per cell. The calculation puts the calculated total energy at -3.1688 eV/atom. The density comes out at 2.54 Mg/m³. Its polymorph energy (0 for the lowest one) is 1138.9 meV/atom.

The structure belongs to space group P6_3/mmc (No. 194); the cell edges are 5.3894, 5.3894 and 11.6487 Å and the angles 90.00°, 90.00° and 120.00°. The asymmetric unit holds Ca at (0.3333, 0.6667, 0.2500), La at (0.0000, 0.0000, 0.0000) and Sc at (0.0000, 0.0000, 0.2500).

=====

VASP calculation (PBE-GGA) on a relaxed PmSmThZn crystal.

The size of the total moment is 0.0 Bohr magnetons per cell. The calculation puts the calculated total energy at -4.4182 eV/atom. The density comes out at 8.68 Mg/m³.

The structure belongs to space group F-43m (No. 216); the cell edges are 7.684, 7.684 and 7.684 Å and the angles 90.00°, 90.00° and 90.00°. The asymmetric unit holds Pm at (0.000, 0.000, 0.000), Sm at (0.250, 0.250, 0.250), Th at (0.250, 0.250, 0.750) and Zn at (0.000, 0.000, 0.500).